Density functional theory data (GGA+U) for BaCrN2O after structural relaxation.

- E_tot (hartree per atom) = -0.1536
- spin magnetization (μB per cell) = 1.65

Unit cell a=4.706 b=4.706 c=4.585 alpha=90.00 beta=90.00 gamma=90.00
Fractional coordinates of all 5 atoms:
Cr  0.500  0.500  0.500
Ba  0.000  0.000  0.000
O  0.000  0.000  0.500
N  0.000  0.500  0.000
N  0.500  0.000  0.000